VASP calculation (PBE) on a relaxed Ge2Sb2Se crystal.

a b c (Å): 7.950 7.950 3.723
angles (deg): 90.00 90.00 90.00
Space group P4/mbm (No. 127)
One atom of each set of equivalent atoms:
Ge (0.157, 0.343, 0.000) (multiplicity 4)
Sb (0.150, 0.650, 0.500) (multiplicity 4)
Se (0.000, 0.000, 0.000) (multiplicity 2)

Values from the calculation:
The value obtained for the relative energy among the computed polymorphs is 86 meV per atom. The calculation puts the density at 6.6 g/cm³. As for the formation energy without anion corrections: 279.6 meV per atom.